Entry 1:
# PaMnFe2H6

An optimized crystal structure of PaMnFe2H6 (PBE, Alexandria).

Calculated values
For the calculated total energy, the calculation gives -5.762 eV per atom. As for the spin magnetization: 0.379 μB/atom.

Cell lengths 4.2852, 4.2852, 14.3906 Å; angles 90.00, 90.00, 120.00 degrees
Space group R-3m (No. 166, hexagonal axes)
One atom of each set of equivalent atoms:
Pa1 0.0000 0.0000 0.0000 [3 per cell]
Mn1 0.0000 0.0000 0.5000 [3 per cell]
Fe1 0.0000 0.0000 0.2040 [6 per cell]
H1 0.0218 0.5109 0.0670 [18 per cell]



Entry 2:
# MnFe2HPd

An optimized crystal structure of MnFe2HPd (PBE, Alexandria).

Calculated values
For the calculated total energy, the calculation gives -6.878 eV per atom. As for the spin magnetization: 1.774 μB/atom.

Cell lengths 3.703, 3.703, 4.015 Å; angles 90.00, 90.00, 90.00 degrees
Space group P4/mmm (No. 123)
One atom of each set of equivalent atoms:
Mn1 0.000 0.000 0.000 [1 per cell]
Fe1 0.000 0.500 0.500 [2 per cell]
H1 0.000 0.000 0.500 [1 per cell]
Pd1 0.500 0.500 0.000 [1 per cell]



Entry 3:
# Mn2FeHPt

An optimized crystal structure of Mn2FeHPt (PBE, Alexandria).

Calculated values
As for the spin magnetization: 0.447 μB/atom. For the energy above the most stable polymorph in this dataset, the calculation gives 0.0 meV per atom.

Cell lengths 3.701, 3.701, 3.786 Å; angles 90.00, 90.00, 90.00 degrees
Space group P4/mmm (No. 123)
One atom of each set of equivalent atoms:
Mn1 0.000 0.500 0.000 [2 per cell]
Fe1 0.000 0.000 0.500 [1 per cell]
H1 0.000 0.000 0.000 [1 per cell]
Pt1 0.500 0.500 0.500 [1 per cell]